## Pr5Ho6Mg (PBE-GGA)

Data for a relaxed structure of Pr5Ho6Mg.

## Properties
magnetic moment	0.00	μB/atom
VASP energy	-4.39	eV/atom
energy of formation	30.5	kJ/mol of formula units

CIF file:
```
data_Pr5Ho6Mg
_chemical_formula_sum 'Pr10 Ho12 Mg2'
_cell_length_a 5.100
_cell_length_b 10.112
_cell_length_c 15.161
_cell_angle_alpha 90.00
_cell_angle_beta 90.00
_cell_angle_gamma 90.00
_symmetry_space_group_name_H-M 'I m m m'
_symmetry_Int_Tables_number 71
_symmetry_space_group_name_Hall '-I 2 2'
loop_
_atom_site_label
_atom_site_type_symbol
_atom_site_fract_x
_atom_site_fract_y
_atom_site_fract_z
Pr1 Pr 0.000 0.000 0.000
Pr2 Pr 0.000 0.000 0.334
Pr3 Pr 0.000 0.500 0.333
Ho1 Ho 0.000 0.250 0.500
Ho2 Ho 0.000 0.252 0.166
Mg1 Mg 0.000 0.500 0.000
```